Record 1
Below is a relaxed HfZrInTc crystal, with properties calculated at the GGA-PBE level.

Geometry as POSCAR:
```
HfZrInTc
1.0
4.8154 0.0000 0.0000
2.4077 4.1702 0.0000
2.4077 1.3901 3.9317
In Hf Zr Tc
1 1 1 1
direct
0.0000 0.0000 0.0000
0.7500 0.7500 0.7500
0.2500 0.2500 0.2500
0.5000 0.5000 0.5000
```

Summary:
Energy above the lowest structure with this stoichiometry ... 182 meV/atom
D(E_F) ... 2.17 states/eV per cell
E_tot ... -8.104 eV per atom

***

Record 2
Below is a relaxed TaOs2Pt crystal, with properties calculated at the GGA-PBE level.

Geometry as POSCAR:
```
TaOs2Pt
1.0
-2.9468 1.9761 2.7193
-3.6595 -2.2067 1.3122
-0.3897 -1.3602 4.2404
Ta Pt Os
1 1 2
direct
0.7500 0.7500 0.7500
0.5000 0.5000 0.5000
0.0000 0.0000 0.0000
0.2500 0.2500 0.2500
```

Summary:
Energy above the lowest structure with this stoichiometry ... 581 meV/atom
D(E_F) ... 5.93 states/eV per cell
E_tot ... -9.870 eV per atom

***

Record 3
Below is a relaxed Tl2CuP crystal, with properties calculated at the GGA-PBE level.

Geometry as POSCAR:
```
Tl2CuP
1.0
-3.2978 0.5083 -0.3722
0.9951 -0.7261 -3.1232
-1.3478 -7.7417 1.3704
Tl Cu P
2 1 1
direct
0.0000 0.0000 0.0093
0.0000 0.0000 0.4907
0.5000 0.5000 0.2500
0.5000 0.5000 0.7500
```

Summary:
Energy above the lowest structure with this stoichiometry ... 526 meV/atom
D(E_F) ... 1.76 states/eV per cell
E_tot ... -3.070 eV per atom

***

Record 4
Below is a relaxed ZnInI5 crystal, with properties calculated at the GGA-PBE level.

Geometry as POSCAR:
```
ZnInI5
1.0
-7.3364 -0.1080 -4.3022
-2.9858 -8.1782 5.2968
-7.0661 10.2177 11.7928
In I Zn
4 20 4
direct
0.2500 0.6796 0.0621
0.7500 0.1796 0.4379
0.7500 0.3204 0.9379
0.2500 0.8204 0.5621
0.7500 0.9773 0.3071
0.0000 0.0000 0.5000
0.5000 0.0000 0.5000
0.0216 0.8385 0.1517
0.4784 0.8385 0.1517
0.2500 0.7069 0.4020
0.0000 0.5000 0.0000
0.2500 0.7931 0.9020
0.9784 0.1615 0.8483
0.5000 0.5000 0.0000
0.7500 0.2069 0.0980
0.7500 0.5227 0.8071
0.9784 0.3385 0.3483
0.5216 0.3385 0.3483
0.2500 0.0227 0.6929
0.5216 0.1615 0.8483
0.4784 0.6615 0.6517
0.2500 0.4773 0.1929
0.7500 0.2931 0.5980
0.0216 0.6615 0.6517
0.7500 0.9661 0.1484
0.7500 0.5339 0.6484
0.2500 0.0339 0.8516
0.2500 0.4661 0.3516
```

Summary:
Formation energy without anion corrections ... -0.36 eV per atom
D(E_F) ... 13.35 states/eV per cell
E_tot ... -2.043 eV per atom

***

Record 5
Below is a relaxed MoAuCl2 crystal, with properties calculated at the GGA-PBE level.

Geometry as POSCAR:
```
MoAuCl2
1.0
6.8906 0.0000 0.0000
0.0000 6.8906 0.0000
3.4453 3.4453 4.6013
Au Cl Mo
2 4 2
direct
0.7500 0.2500 0.5000
0.0000 0.0000 0.0000
0.2313 0.6250 0.2500
0.8750 0.7687 0.7500
0.5187 0.1250 0.2500
0.3750 0.4813 0.7500
0.5000 0.5000 0.0000
0.2500 0.7500 0.5000
```

Summary:
Energy above the lowest structure with this stoichiometry ... 797 meV/atom
Formation energy without anion corrections ... 0.60 eV per atom
D(E_F) ... 7.57 states/eV per cell
E_tot ... -3.848 eV per atom

***

Record 6
Below is a relaxed UTi6S8 crystal, with properties calculated at the GGA-PBE level.

Geometry as POSCAR:
```
UTi6S8
1.0
6.5485 0.1585 0.1637
-0.0458 6.5503 0.1637
-0.0458 -0.0473 6.5522
S Ti U
8 6 1
direct
0.1305 0.7438 0.3737
0.8695 0.2562 0.6263
0.2562 0.6263 0.8695
0.7438 0.3737 0.1305
0.6263 0.8695 0.2562
0.7545 0.7545 0.7545
0.2455 0.2455 0.2455
0.3737 0.1305 0.7438
0.4172 0.5691 0.1963
0.8037 0.5828 0.4309
0.1963 0.4172 0.5691
0.4309 0.8037 0.5828
0.5828 0.4309 0.8037
0.5691 0.1963 0.4172
0.0000 0.0000 0.0000
```

Summary:
Formation energy without anion corrections ... -1.23 eV per atom
D(E_F) ... 16.25 states/eV per cell
E_tot ... -7.342 eV per atom

***

Record 7
Below is a relaxed K4Ac crystal, with properties calculated at the GGA-PBE level.

Geometry as POSCAR:
```
K4Ac
1.0
-5.9790 3.8691 2.8876
2.5196 -1.4201 7.1198
4.1182 6.4862 -0.1636
K Ac
4 1
direct
0.0000 0.5000 0.5000
0.5000 0.0000 0.5000
0.0000 0.0000 0.0000
0.5000 0.5000 0.0000
0.5000 0.5000 0.5000
```

Summary:
D(E_F) ... 11.99 states/eV per cell
E_tot ... -1.010 eV per atom

***

Record 8
Below is a relaxed TaOsF2 crystal, with properties calculated at the GGA-PBE level.

Geometry as POSCAR:
```
TaOsF2
1.0
1.5657 0.0000 10.6720
-0.7828 1.3559 10.6720
-0.7828 -1.3559 10.6720
F Os Ta
2 1 1
direct
0.1182 0.1182 0.1182
0.8818 0.8818 0.8818
0.0000 0.0000 0.0000
0.5000 0.5000 0.5000
```

Summary:
Energy above the lowest structure with this stoichiometry ... 0 meV/atom
Formation energy without anion corrections ... -0.81 eV per atom
D(E_F) ... 2.91 states/eV per cell
E_tot ... -7.511 eV per atom

***

Record 9
Below is a relaxed PmNdGdGa crystal, with properties calculated at the GGA-PBE level.

Geometry as POSCAR:
```
PmNdGdGa
1.0
-3.9092 -3.3349 -1.7682
-1.2091 -4.4960 2.8025
-4.7069 -0.3386 2.6945
Ga Gd Pm Nd
1 1 1 1
direct
0.2500 0.2500 0.2500
0.0000 0.0000 0.0000
0.7500 0.7500 0.7500
0.5000 0.5000 0.5000
```

Summary:
D(E_F) ... 5.08 states/eV per cell
E_tot ... -6.736 eV per atom

***

Record 10
Below is a relaxed Sr4TbTl5 crystal, with properties calculated at the GGA-PBE level.

Geometry as POSCAR:
```
Sr4TbTl5
1.0
4.0147 0.0000 0.0000
0.0000 4.0147 0.0000
0.0000 0.0000 20.3839
Tl Sr Tb
5 4 1
direct
0.5000 0.5000 0.9132
0.5000 0.5000 0.5000
0.5000 0.5000 0.0868
0.5000 0.5000 0.2960
0.5000 0.5000 0.7040
0.0000 0.0000 0.1927
0.0000 0.0000 0.8073
0.0000 0.0000 0.6027
0.0000 0.0000 0.3973
0.0000 0.0000 0.0000
```

Summary:
D(E_F) ... 6.51 states/eV per cell
E_tot ... -2.724 eV per atom

***

Record 11
Below is a relaxed TmBi3Se6 crystal, with properties calculated at the GGA-PBE level.

Geometry as POSCAR:
```
TmBi3Se6
1.0
-0.6602 -0.7332 3.9907
1.4505 -12.0006 -1.9647
10.9473 4.5821 2.6528
Bi Se Tm
6 12 2
direct
0.7500 0.7014 0.4749
0.7500 0.4293 0.8367
0.7500 0.1502 0.0943
0.2500 0.2986 0.5251
0.2500 0.5707 0.1633
0.2500 0.8498 0.9057
0.7500 0.7726 0.2768
0.7500 0.4079 0.0862
0.7500 0.8114 0.7431
0.2500 0.5921 0.9138
0.2500 0.5349 0.3837
0.7500 0.9304 0.1175
0.2500 0.0696 0.8825
0.2500 0.9025 0.5359
0.2500 0.2274 0.7232
0.7500 0.4651 0.6163
0.7500 0.0975 0.4641
0.2500 0.1886 0.2569
0.2500 0.9637 0.3138
0.7500 0.0363 0.6862
```

Summary:
Formation energy without anion corrections ... -0.72 eV per atom
E_tot ... -4.424 eV per atom

***

Record 12
Below is a relaxed K3CdAg2Cl8 crystal, with properties calculated at the GGA-PBE level.

Geometry as POSCAR:
```
K3CdAg2Cl8
1.0
-4.5025 5.3709 2.0088
-2.4824 -5.4981 -4.0942
-2.2277 -4.7671 7.7524
K Ag Cl Cd
3 2 8 1
direct
0.6667 0.3333 0.3987
0.0000 0.0000 0.0000
0.3333 0.6667 0.6013
0.6667 0.3333 0.8239
0.3333 0.6667 0.1761
0.6709 0.8355 0.3303
0.8355 0.1645 0.6697
0.3333 0.6667 0.9212
0.8355 0.6709 0.6697
0.3291 0.1645 0.6697
0.1645 0.8355 0.3303
0.6667 0.3333 0.0788
0.1645 0.3291 0.3303
0.0000 0.0000 0.5000
```

Summary:
Formation energy without anion corrections ... -1.14 eV per atom
D(E_F) ... 10.62 states/eV per cell
E_tot ... -2.905 eV per atom

***

Record 13
Below is a relaxed ScV2Pd crystal, with properties calculated at the GGA-PBE level.

Geometry as POSCAR:
```
ScV2Pd
1.0
0.0000 3.1413 3.1413
3.1413 0.0000 3.1413
3.1413 3.1413 0.0000
V Pd Sc
2 1 1
direct
0.2500 0.2500 0.2500
0.7500 0.7500 0.7500
0.5000 0.5000 0.5000
0.0000 0.0000 0.0000
```

Summary:
Energy above the lowest structure with this stoichiometry ... 0 meV/atom
D(E_F) ... 5.58 states/eV per cell
E_tot ... -7.246 eV per atom

***

Record 14
Below is a relaxed PrSmOsAu crystal, with properties calculated at the GGA-PBE level.

Geometry as POSCAR:
```
PrSmOsAu
1.0
-1.4139 -2.5483 4.1807
-4.2977 -2.7386 -0.0167
0.2222 -5.0907 0.0782
Au Sm Os Pr
1 1 1 1
direct
0.0000 0.0000 0.0000
0.7500 0.7500 0.7500
0.5000 0.5000 0.5000
0.2500 0.2500 0.2500
```

Summary:
D(E_F) ... 3.65 states/eV per cell
E_tot ... -6.304 eV per atom